[1]
# PBE ScNbSb2S, optimized geometry
# Uncorrected energy, eV per atom: -5.76
# Crystal system: tetragonal
# Total magnetic moment, μB/atom: 0.0000
data_ScNbSb2S
_space_group_name_H-M_alt 'P 4/m m m'
_space_group_IT_number 123
_space_group_name_Hall '-P 4 2'
_cell_length_a 5.487
_cell_length_b 5.487
_cell_length_c 4.573
_cell_angle_alpha 90.00
_cell_angle_beta 90.00
_cell_angle_gamma 90.00
loop_
_atom_site_label
_atom_site_fract_x
_atom_site_fract_y
_atom_site_fract_z
Sc1 0.000 0.000 0.000
Nb1 0.500 0.500 0.500
Sb1 0.000 0.500 0.500
S1 0.500 0.500 0.000



[2]
# PBE Rb7CdHg2, optimized geometry
# Uncorrected energy, eV per atom: -0.92
# Crystal system: monoclinic
# Total magnetic moment, μB/atom: 0.0000
# Energy of formation from the pure elements, eV/atom: -0.0871
data_Rb7CdHg2
_space_group_name_H-M_alt 'C 1 2/c 1'
_space_group_IT_number 15
_space_group_name_Hall '-C 2yc'
_cell_length_a 20.920
_cell_length_b 9.872
_cell_length_c 12.890
_cell_angle_alpha 90.00
_cell_angle_beta 117.62
_cell_angle_gamma 90.00
loop_
_atom_site_label
_atom_site_fract_x
_atom_site_fract_y
_atom_site_fract_z
Rb1 0.000 0.088 0.250
Rb2 0.094 0.303 0.599
Rb3 0.143 0.230 0.009
Rb4 0.199 0.387 0.359
Cd1 0.000 0.494 0.250
Hg1 0.201 0.004 0.313



[3]
# PBE LaPm2Y3As6, optimized geometry
# Uncorrected energy, eV per atom: -6.69
# Crystal system: monoclinic
# Total magnetic moment, μB/atom: 0.0000
# Energy of formation from the pure elements, eV/atom: -1.5436
data_LaPm2Y3As6
_space_group_name_H-M_alt 'C 1 2/m 1'
_space_group_IT_number 12
_space_group_name_Hall '-C 2y'
_cell_length_a 7.288
_cell_length_b 12.620
_cell_length_c 7.279
_cell_angle_alpha 90.00
_cell_angle_beta 109.48
_cell_angle_gamma 90.00
loop_
_atom_site_label
_atom_site_fract_x
_atom_site_fract_y
_atom_site_fract_z
La1 0.000 0.000 0.000
Pm1 0.000 0.333 0.000
Y1 0.000 0.166 0.500
Y2 0.000 0.500 0.500
As1 0.245 0.332 0.741
As2 0.250 0.000 0.742



[4]
# PBE GdEr2Sb, optimized geometry
# Uncorrected energy, eV per atom: -7.13
# Crystal system: trigonal
# Polymorph energy (0 for the lowest one), meV/atom: 186
# Total magnetic moment, μB/atom: 2.1808
data_GdEr2Sb
_space_group_name_H-M_alt 'R -3 m'
_space_group_IT_number 166
_space_group_name_Hall '-R 3 2"'
_cell_length_a 3.9590
_cell_length_b 3.9590
_cell_length_c 28.9767
_cell_angle_alpha 90.00
_cell_angle_beta 90.00
_cell_angle_gamma 120.00
loop_
_atom_site_label
_atom_site_fract_x
_atom_site_fract_y
_atom_site_fract_z
Gd1 0.0000 0.0000 0.0000
Er1 0.0000 0.0000 0.2335
Sb1 0.0000 0.0000 0.5000



[5]
# PBE GdErCuNi, optimized geometry
# Uncorrected energy, eV per atom: -7.44
# Crystal system: cubic
# Total magnetic moment, μB/atom: 1.7793
# Energy of formation from the pure elements, eV/atom: -0.3119
data_GdErCuNi
_space_group_name_H-M_alt 'F -4 3 m'
_space_group_IT_number 216
_space_group_name_Hall 'F -4 2 3'
_cell_length_a 6.846
_cell_length_b 6.846
_cell_length_c 6.846
_cell_angle_alpha 90.00
_cell_angle_beta 90.00
_cell_angle_gamma 90.00
loop_
_atom_site_label
_atom_site_fract_x
_atom_site_fract_y
_atom_site_fract_z
Gd1 0.000 0.000 0.000
Er1 0.000 0.000 0.500
Cu1 0.250 0.250 0.750
Ni1 0.250 0.250 0.250



[6]
# PBE MgVFe3, optimized geometry
# Uncorrected energy, eV per atom: -5.68
# Crystal system: cubic
# Polymorph energy (0 for the lowest one), meV/atom: 700
# Total magnetic moment, μB/atom: 0.8765
# Energy of formation from the pure elements, eV/atom: 1.5413
data_MgVFe3
_space_group_name_H-M_alt 'P m -3 m'
_space_group_IT_number 221
_space_group_name_Hall '-P 4 2 3'
_cell_length_a 4.366
_cell_length_b 4.366
_cell_length_c 4.366
_cell_angle_alpha 90.00
_cell_angle_beta 90.00
_cell_angle_gamma 90.00
loop_
_atom_site_label
_atom_site_fract_x
_atom_site_fract_y
_atom_site_fract_z
Mg1 0.000 0.000 0.000
V1 0.500 0.500 0.500
Fe1 0.000 0.000 0.500